No. 1
CdRe2Ir: PBEsol geometry, meta-GGA SCAN.

Cell lengths 4.754, 4.754, 2.738 Å; angles 90.00, 90.00, 90.00 degrees
Space group P4/mmm (No. 123)
One atom of each set of equivalent atoms:
Cd1 0.000 0.000 0.000
Re1 0.000 0.500 0.500
Ir1 0.500 0.500 0.000

Computed properties:
uncorrected energy: -60.1364 eV/atom
magnetization: 0.000 μB/atom
DOS at the Fermi energy: 0.98 states/eV per atom

No. 2
Cr2InRh2: PBEsol geometry, meta-GGA SCAN.

Cell lengths 3.218, 3.218, 13.924 Å; angles 90.00, 90.00, 90.00 degrees
Space group I4/mmm (No. 139)
One atom of each set of equivalent atoms:
Cr1 0.000 0.500 0.250
In1 0.000 0.000 0.000
Rh1 0.000 0.000 0.393

Computed properties:
uncorrected energy: -27.3896 eV/atom
magnetization: 0.000 μB/atom
DOS at the Fermi energy: 0.90 states/eV per atom

No. 3
La7Ni3: PBEsol geometry, meta-GGA SCAN.

Cell lengths 9.8701, 9.8701, 6.3261 Å; angles 90.00, 90.00, 120.00 degrees
Space group P6_3mc (No. 186)
One atom of each set of equivalent atoms:
La1 0.0760 0.5380 0.0000
La2 0.1256 0.2512 0.3100
La3 0.3333 0.6667 0.5325
Ni1 0.1867 0.3734 0.7656

Computed properties:
uncorrected energy: -35.2538 eV/atom
magnetization: 0.000 μB/atom
DOS at the Fermi energy: 0.97 states/eV per atom

No. 4
Li7Cr2O8: PBEsol geometry, meta-GGA SCAN.

Cell lengths 5.128, 5.148, 7.619 Å; angles 70.96, 82.90, 66.99 degrees
Space group P1 (No. 1)
One atom of each set of equivalent atoms:
Li1 0.000 0.000 0.000
Li2 0.001 0.089 0.633
Li3 0.448 0.168 0.396
Li4 0.473 0.100 0.736
Li5 0.486 0.825 0.181
Li6 0.935 0.513 0.761
Li7 0.954 0.366 0.196
Cr1 0.012 0.753 0.418
Cr2 0.432 0.453 0.954
O1 0.176 0.388 0.555
O2 0.193 0.279 0.984
O3 0.210 0.973 0.357
O4 0.274 0.818 0.833
O5 0.553 0.429 0.163
O6 0.705 0.270 0.825
O7 0.766 0.908 0.572
O8 0.873 0.757 0.220

Computed properties:
uncorrected energy: -8.2775 eV/atom
magnetization: 0.176 μB/atom
formation energy from raw total energies: -2.198 eV/atom
DOS at the Fermi energy: 0.36 states/eV per atom

No. 5
TlHgCl3: PBEsol geometry, meta-GGA SCAN.

Cell lengths 5.220, 5.220, 5.220 Å; angles 90.00, 90.00, 90.00 degrees
Space group Pm-3m (No. 221)
One atom of each set of equivalent atoms:
Tl1 0.000 0.000 0.000
Hg1 0.500 0.500 0.500
Cl1 0.000 0.000 0.500

Computed properties:
uncorrected energy: -33.3523 eV/atom
magnetization: 0.001 μB/atom
formation energy from raw total energies: -0.461 eV/atom
DOS at the Fermi energy: 0.83 states/eV per atom

No. 6
Ta2FeMo: PBEsol geometry, meta-GGA SCAN.

Cell lengths 3.133, 3.133, 6.163 Å; angles 90.00, 90.00, 90.00 degrees
Space group P4/mmm (No. 123)
One atom of each set of equivalent atoms:
Ta1 0.000 0.000 0.243
Fe1 0.500 0.500 0.000
Mo1 0.500 0.500 0.500

Computed properties:
uncorrected energy: -46.6988 eV/atom
magnetization: 0.172 μB/atom
ΔE to the lowest computed polymorph: 0 meV per atom
DOS at the Fermi energy: 0.64 states/eV per atom

No. 7
InCu2SiIr: PBEsol geometry, meta-GGA SCAN.

Cell lengths 4.532, 4.532, 4.764 Å; angles 90.00, 90.00, 90.00 degrees
Space group P4/mmm (No. 123)
One atom of each set of equivalent atoms:
In1 0.000 0.000 0.000
Cu1 0.000 0.500 0.000
Si1 0.000 0.000 0.500
Ir1 0.500 0.500 0.500

Computed properties:
uncorrected energy: -27.1565 eV/atom
magnetization: 0.000 μB/atom
formation energy from raw total energies: 1.823 eV/atom
DOS at the Fermi energy: 0.67 states/eV per atom

No. 8
TeS7Cl2: PBEsol geometry, meta-GGA SCAN.

Cell lengths 9.295, 8.733, 13.058 Å; angles 90.00, 90.00, 90.00 degrees
Space group Pnma (No. 62)
One atom of each set of equivalent atoms:
Te1 0.190 0.250 0.106
S1 0.139 0.562 0.283
S2 0.168 0.533 0.533
S3 0.244 0.536 0.901
S4 0.245 0.750 0.227
Cl1 0.022 0.250 0.965
Cl2 0.087 0.750 0.718

Computed properties:
uncorrected energy: -12.2346 eV/atom
magnetization: 0.000 μB/atom
formation energy from raw total energies: -0.174 eV/atom
DOS at the Fermi energy: 0.00 states/eV per atom

No. 9
ZrAl3Ni2: PBEsol geometry, meta-GGA SCAN.

Cell lengths 5.0756, 5.0756, 3.8854 Å; angles 90.00, 90.00, 120.00 degrees
Space group P6/mmm (No. 191)
One atom of each set of equivalent atoms:
Zr1 0.0000 0.0000 0.0000
Al1 0.0000 0.5000 0.5000
Ni1 0.3333 0.6667 0.0000

Computed properties:
uncorrected energy: -15.0516 eV/atom
magnetization: 0.007 μB/atom
ΔE to the lowest computed polymorph: 0 meV per atom
DOS at the Fermi energy: 0.41 states/eV per atom

No. 10
TlWAu: PBEsol geometry, meta-GGA SCAN.

Cell lengths 6.364, 6.364, 6.364 Å; angles 90.00, 90.00, 90.00 degrees
Space group F-43m (No. 216)
One atom of each set of equivalent atoms:
Tl1 0.000 0.000 0.000
W1 0.250 0.250 0.250
Au1 0.000 0.000 0.500

Computed properties:
uncorrected energy: -69.1827 eV/atom
magnetization: 0.479 μB/atom
ΔE to the lowest computed polymorph: 159 meV per atom
DOS at the Fermi energy: 1.43 states/eV per atom

No. 11
Ti2NbHgSb: PBEsol geometry, meta-GGA SCAN.

Cell lengths 4.892, 4.892, 5.073 Å; angles 90.00, 90.00, 90.00 degrees
Space group P4/mmm (No. 123)
One atom of each set of equivalent atoms:
Ti1 0.000 0.500 0.000
Nb1 0.000 0.000 0.500
Hg1 0.500 0.500 0.500
Sb1 0.500 0.500 0.000

Computed properties:
uncorrected energy: -32.8691 eV/atom
magnetization: 0.000 μB/atom
formation energy from raw total energies: 1.254 eV/atom
DOS at the Fermi energy: 0.73 states/eV per atom

No. 12
LaSbAs2: PBEsol geometry, meta-GGA SCAN.

Cell lengths 11.181, 3.940, 5.049 Å; angles 90.00, 98.31, 90.00 degrees
Space group C2/m (No. 12)
One atom of each set of equivalent atoms:
La1 0.000 0.000 0.000
Sb1 0.000 0.500 0.500
As1 0.231 0.500 0.834

Computed properties:
uncorrected energy: -30.8066 eV/atom
magnetization: 0.000 μB/atom
formation energy from raw total energies: -0.620 eV/atom
DOS at the Fermi energy: 0.18 states/eV per atom